Material: TbSm2DyBi5
Method: DFT, PBE
State: optimized geometry

a = 5.441 Å, b = 5.441 Å, c = 11.904 Å
α = 90.00°, β = 90.00°, γ = 90.00°
Atoms (fractional coordinates):
1 Bi 0.000 0.000 0.245
2 Dy 0.000 0.000 0.000
3 Bi 0.000 0.500 0.500
4 Tb 0.000 0.000 0.500
5 Sm 0.500 0.500 0.273
6 Bi 0.500 0.000 0.500
7 Bi 0.500 0.500 0.000
8 Bi 0.000 0.000 0.755
9 Sm 0.500 0.500 0.727

Calculated values
space group: P4/mmm (123)
magnetic moment: 0.000 μB/atom
ΔH_f (0 K): -0.05 eV/atom
V: 352 Å³/cell